No. 1
This record from the Alexandria database describes HfCuGe after structural relaxation. The functional is GGA-PBE.

Cell and atoms, written as POSCAR:
```
HfCuGe
1.0
6.5123 0.0000 0.0000
0.0000 3.9376 0.0000
-0.2269 0.0000 11.3334
Hf Cu Ge
6 6 6
Direct
0.0155 0.2500 0.1231
0.1581 0.2500 0.4233
0.4834 0.7500 0.8045
0.5166 0.2500 0.1955
0.8419 0.7500 0.5767
0.9845 0.7500 0.8769
0.1445 0.2500 0.7000
0.3275 0.7500 0.0500
0.4934 0.7500 0.4061
0.5066 0.2500 0.5939
0.6725 0.2500 0.9500
0.8555 0.7500 0.3000
0.2236 0.7500 0.2551
0.2706 0.7500 0.5905
0.2737 0.2500 0.9256
0.7263 0.7500 0.0744
0.7294 0.2500 0.4095
0.7764 0.2500 0.7449
```

theoretical density = 10788 kg/m³
DFT formation energy = -463 meV/atom
magnetic moment = 0.00 Bohr magnetons per cell

No. 2
This record from the Alexandria database describes PaFeAsN after structural relaxation. The functional is GGA-PBE.

Cell and atoms, written as POSCAR:
```
PaFeAsN
1.0
3.9367 0.0000 0.0000
0.0000 3.9367 0.0000
0.0000 0.0000 7.8410
Pa Fe As N
2 2 2 2
Direct
0.2500 0.2500 0.1506
0.7500 0.7500 0.8494
0.2500 0.7500 0.5000
0.7500 0.2500 0.5000
0.2500 0.2500 0.6557
0.7500 0.7500 0.3443
0.2500 0.7500 0.0000
0.7500 0.2500 0.0000
```

theoretical density = 10271 kg/m³
E_form (uncorrected) = -4.47 eV per formula unit
magnetic moment = 0.00 Bohr magnetons per cell

No. 3
This record from the Alexandria database describes CaLa2Re after structural relaxation. The functional is GGA-PBE.

Cell and atoms, written as POSCAR:
```
CaLa2Re
1.0
5.8095 -1.9849 0.0000
5.8095 1.9849 0.0000
-3.2989 0.0000 5.8546
Ca La Re
1 2 1
Direct
0.0000 0.0000 0.0000
0.6377 0.6377 0.6677
0.8128 0.8128 0.3013
0.2848 0.2848 0.9922
```

theoretical density = 6200 kg/m³
DFT formation energy = 305 meV/atom
magnetic moment = 0.00 Bohr magnetons per cell

No. 4
This record from the Alexandria database describes BaZn4Hg after structural relaxation. The functional is GGA-PBE.

Cell and atoms, written as POSCAR:
```
BaZn4Hg
1.0
0.0000 4.0762 4.0762
4.0762 0.0000 4.0762
4.0762 4.0762 0.0000
Ba Zn Hg
1 4 1
Direct
0.0000 0.0000 0.0000
0.3774 0.3774 0.3774
0.3774 0.3774 0.8679
0.3774 0.8679 0.3774
0.8679 0.3774 0.3774
0.7500 0.7500 0.7500
```

theoretical density = 7350 kg/m³
DFT formation energy = -91 meV/atom
magnetic moment = 0.00 Bohr magnetons per cell

No. 5
This record from the Alexandria database describes BaLiU4N8 after structural relaxation. The functional is GGA-PBE.

Cell and atoms, written as POSCAR:
```
BaLiU4N8
1.0
3.5160 2.0300 5.3864
-3.5160 2.0300 5.3864
0.0000 -4.0599 5.3864
Ba Li U N
1 1 4 8
Direct
0.0000 0.0000 0.0000
0.3754 0.3754 0.3754
0.3855 0.3855 0.8958
0.3855 0.8958 0.3855
0.7728 0.7728 0.7728
0.8958 0.3855 0.3855
0.1558 0.1558 0.5505
0.1558 0.5505 0.1558
0.1597 0.1597 0.1597
0.1688 0.6521 0.6521
0.5505 0.1558 0.1558
0.6297 0.6297 0.6297
0.6521 0.1688 0.6521
0.6521 0.6521 0.1688
```

theoretical density = 8699 kg/m³
E_form (uncorrected) = -15.21 eV per formula unit
magnetic moment = 3.08 Bohr magnetons per cell

No. 6
This record from the Alexandria database describes UPa2Pd after structural relaxation. The functional is GGA-PBE.

Cell and atoms, written as POSCAR:
```
UPa2Pd
1.0
3.5557 0.0000 0.0000
0.0000 3.5557 0.0000
0.0000 0.0000 6.8587
U Pa Pd
1 2 1
Direct
0.0000 0.0000 0.0000
0.5000 0.5000 0.2410
0.5000 0.5000 0.7590
0.0000 0.0000 0.5000
```

theoretical density = 15445 kg/m³
DFT formation energy = -112 meV/atom
magnetic moment = 0.00 Bohr magnetons per cell

No. 7
This record from the Alexandria database describes LuZrSi2 after structural relaxation. The functional is GGA-PBE.

Cell and atoms, written as POSCAR:
```
LuZrSi2
1.0
1.9012 1.0977 6.7438
-1.9012 1.0977 6.7438
0.0000 -2.1953 6.7438
Lu Zr Si
1 1 2
Direct
0.0000 0.0000 0.0000
0.5000 0.5000 0.5000
0.2453 0.2453 0.2453
0.7547 0.7547 0.7547
```

theoretical density = 6339 kg/m³
E_form (uncorrected) = -2.29 eV per formula unit
magnetic moment = 0.00 Bohr magnetons per cell

No. 8
This record from the Alexandria database describes Th2ZrTi after structural relaxation. The functional is GGA-PBE.

Cell and atoms, written as POSCAR:
```
Th2ZrTi
1.0
0.0000 3.7427 3.7427
3.7427 0.0000 3.7427
3.7427 3.7427 0.0000
Th Zr Ti
2 1 1
Direct
0.2500 0.2500 0.2500
0.7500 0.7500 0.7500
0.0000 0.0000 0.0000
0.5000 0.5000 0.5000
```

theoretical density = 9552 kg/m³
DFT formation energy = 195 meV/atom
magnetic moment = 1.06 Bohr magnetons per cell